Entry w
This record from the Alexandria database describes a geometry-optimized BeCoBr structure. The functional is PBE.

Cell and atoms, written as POSCAR:
```
BeCoBr
1.0
0.000 2.754 2.754
2.754 0.000 2.754
2.754 2.754 0.000
Be Co Br
1 1 1
Direct
0.000 0.000 0.000
0.250 0.250 0.250
0.500 0.500 0.500
```

Output
**Total magnetic moment**: 0.000 μB/atom

Entry x
This record from the Alexandria database describes a geometry-optimized BeCoBr structure. The functional is PBE.

Cell and atoms, written as POSCAR:
```
BeCoBr
1.0
3.898 0.000 0.000
-1.949 3.376 0.000
0.000 0.000 3.284
Be Co Br
1 1 1
Direct
0.000 0.000 0.000
0.333 0.667 0.919
0.667 0.333 0.641
```

Output
**Total magnetic moment**: 0.069 μB/atom

Most stable structure, least stable structure: entry w, entry x.

Entry w
This record from the Alexandria database describes a geometry-optimized BeCoBr structure. The functional is PBE.

Cell and atoms, written as POSCAR:
```
BeCoBr
1.0
0.000 2.804 2.804
2.804 0.000 2.804
2.804 2.804 0.000
Be Co Br
1 1 1
Direct
0.000 0.000 0.000
0.750 0.750 0.750
0.250 0.250 0.250
```

Output
**Total magnetic moment**: 0.258 μB/atom

Entry x
This record from the Alexandria database describes a geometry-optimized BeCoBr structure. The functional is PBE.

Cell and atoms, written as POSCAR:
```
BeCoBr
1.0
8.909 -1.714 0.000
8.909 1.714 0.000
-0.014 0.000 3.315
Be Co Br
2 2 2
Direct
0.000 0.000 0.000
0.584 0.584 0.002
0.096 0.096 0.502
0.499 0.499 0.500
0.196 0.196 0.004
0.898 0.898 0.497
```

Output
**Total magnetic moment**: 0.396 μB/atom

Entry y
This record from the Alexandria database describes a geometry-optimized BeCoBr structure. The functional is PBE.

Cell and atoms, written as POSCAR:
```
BeCoBr
1.0
3.245 0.000 0.000
0.000 3.463 0.000
-1.581 0.000 8.797
Be Co Br
2 2 2
Direct
0.037 0.250 0.077
0.963 0.750 0.923
0.450 0.250 0.900
0.550 0.750 0.100
0.354 0.750 0.709
0.646 0.250 0.291
```

Output
**Total magnetic moment**: 0.000 μB/atom

Most stable structure, least stable structure: entry y, entry w.

Entry w
This record from the Alexandria database describes a geometry-optimized BeCoBr structure. The functional is PBE.

Cell and atoms, written as POSCAR:
```
BeCoBr
1.0
3.552 0.000 0.000
-0.163 3.550 0.000
-0.969 -1.021 8.533
Be Co Br
2 2 2
Direct
0.000 0.000 0.000
0.460 0.464 0.996
0.015 0.544 0.161
0.544 0.019 0.162
0.169 0.165 0.772
0.558 0.563 0.365
```

Output
**Total magnetic moment**: 0.333 μB/atom

Entry x
This record from the Alexandria database describes a geometry-optimized BeCoBr structure. The functional is PBE.

Cell and atoms, written as POSCAR:
```
BeCoBr
1.0
3.090 -1.784 0.000
3.090 1.784 0.000
-2.150 0.000 9.132
Be Co Br
2 2 2
Direct
0.000 0.000 0.000
0.667 0.667 0.001
0.290 0.290 0.875
0.377 0.377 0.125
0.566 0.566 0.711
0.767 0.767 0.289
```

Output
**Total magnetic moment**: 0.333 μB/atom

Most stable structure, least stable structure: entry w, entry x.

Entry w
This record from the Alexandria database describes a geometry-optimized BeCoBr2 structure. The functional is PBE.

Cell and atoms, written as POSCAR:
```
BeCoBr2
1.0
4.947 0.000 0.000
0.000 3.302 0.000
-0.211 0.000 4.977
Be Co Br
1 1 2
Direct
0.000 0.000 0.000
0.500 0.000 0.500
0.232 0.500 0.767
0.768 0.500 0.233
```

Output
**Total magnetic moment**: 0.347 μB/atom

Entry x
This record from the Alexandria database describes a geometry-optimized BeCoBr2 structure. The functional is PBE.

Cell and atoms, written as POSCAR:
```
BeCoBr2
1.0
-1.632 3.308 3.630
1.632 -3.308 3.630
1.632 3.308 -3.630
Be Co Br
1 1 2
Direct
0.000 0.000 0.000
0.500 0.500 0.000
0.232 0.732 0.500
0.768 0.268 0.500
```

Output
**Total magnetic moment**: 0.347 μB/atom

Most stable structure, least stable structure: entry w, entry x.

Entry w
This record from the Alexandria database describes a geometry-optimized BeCoBr2 structure. The functional is PBE.

Cell and atoms, written as POSCAR:
```
BeCoBr2
1.0
0.000 3.357 3.357
3.357 0.000 3.357
3.357 3.357 0.000
Be Co Br
1 1 2
Direct
0.000 0.000 0.000
0.750 0.750 0.750
0.250 0.250 0.250
0.500 0.500 0.500
```

Output
**Total magnetic moment**: 0.343 μB/atom

Entry x
This record from the Alexandria database describes a geometry-optimized BeCoBr2 structure. The functional is PBE.

Cell and atoms, written as POSCAR:
```
BeCoBr2
1.0
4.138 0.000 0.000
0.000 3.424 0.000
-0.669 0.000 6.499
Be Co Br
1 1 2
Direct
0.000 0.000 0.000
0.655 0.500 0.987
0.035 0.500 0.751
0.449 0.000 0.211
```

Output
**Total magnetic moment**: 0.250 μB/atom

Entry y
This record from the Alexandria database describes a geometry-optimized BeCoBr2 structure. The functional is PBE.

Cell and atoms, written as POSCAR:
```
BeCoBr2
1.0
1.610 -3.304 0.000
1.610 3.304 0.000
0.000 0.000 8.999
Be Co Br
1 1 2
Direct
0.000 0.000 0.000
0.500 0.500 0.800
0.000 0.000 0.609
0.500 0.500 0.163
```

Output
**Total magnetic moment**: 0.427 μB/atom

Most stable structure, least stable structure: entry x, entry w.

Entry w
This record from the Alexandria database describes a geometry-optimized BeCoBr2 structure. The functional is PBE.

Cell and atoms, written as POSCAR:
```
BeCoBr2
1.0
0.000 3.245 3.245
3.245 0.000 3.245
3.245 3.245 0.000
Be Co Br
1 1 2
Direct
0.000 0.000 0.000
0.500 0.500 0.500
0.250 0.250 0.250
0.750 0.750 0.750
```

Output
**Total magnetic moment**: 0.399 μB/atom

Entry x
This record from the Alexandria database describes a geometry-optimized BeCoBr2 structure. The functional is PBE.

Cell and atoms, written as POSCAR:
```
BeCoBr2
1.0
-1.611 4.399 4.475
1.611 -4.399 4.475
1.611 4.399 -4.475
Be Co Br
1 1 2
Direct
0.000 0.000 0.000
0.206 0.706 0.500
0.395 0.395 0.000
0.839 0.339 0.500
```

Output
**Total magnetic moment**: 0.455 μB/atom

Most stable structure, least stable structure: entry x, entry w.

Entry w
This record from the Alexandria database describes a geometry-optimized BeCoBr2 structure. The functional is PBE.

Cell and atoms, written as POSCAR:
```
BeCoBr2
1.0
3.411 0.000 0.000
0.000 3.582 0.000
0.000 0.000 6.770
Be Co Br
1 1 2
Direct
0.000 0.000 0.000
0.500 0.000 0.500
0.000 0.500 0.500
0.500 0.500 0.000
```

Output
**Total magnetic moment**: 0.418 μB/atom

Entry x
This record from the Alexandria database describes a geometry-optimized BeCoBr2 structure. The functional is PBE.

Cell and atoms, written as POSCAR:
```
BeCoBr2
1.0
3.244 -1.824 0.000
3.244 1.824 0.000
-2.127 0.000 5.925
Be Co Br
1 1 2
Direct
0.000 0.000 0.000
0.500 0.500 0.500
0.254 0.254 0.749
0.746 0.746 0.251
```

Output
**Total magnetic moment**: 0.345 μB/atom

Entry y
This record from the Alexandria database describes a geometry-optimized BeCoBr2 structure. The functional is PBE.

Cell and atoms, written as POSCAR:
```
BeCoBr2
1.0
3.462 -1.709 0.000
3.462 1.709 0.000
-0.593 0.000 7.240
Be Co Br
1 1 2
Direct
0.000 0.000 0.000
0.710 0.710 0.882
0.351 0.351 0.701
0.614 0.614 0.185
```

Output
**Total magnetic moment**: 0.251 μB/atom

Entry z
This record from the Alexandria database describes a geometry-optimized BeCoBr2 structure. The functional is PBE.

Cell and atoms, written as POSCAR:
```
BeCoBr2
1.0
3.282 0.000 0.000
0.000 3.282 0.000
0.000 0.000 7.453
Be Co Br
1 1 2
Direct
0.000 0.000 0.000
0.500 0.500 0.906
0.000 0.000 0.700
0.500 0.500 0.212
```

Output
**Total magnetic moment**: 0.250 μB/atom

Most stable structure, least stable structure: entry y, entry w.

Entry w
This record from the Alexandria database describes a geometry-optimized BeCoBr2 structure. The functional is PBE.

Cell and atoms, written as POSCAR:
```
BeCoBr2
1.0
-1.751 1.751 6.888
1.751 -1.751 6.888
1.751 1.751 -6.888
Be Co Br
1 1 2
Direct
0.000 0.000 0.000
0.750 0.250 0.500
0.250 0.750 0.500
0.500 0.500 0.000
```

Output
**Total magnetic moment**: 0.418 μB/atom

Entry x
This record from the Alexandria database describes a geometry-optimized BeCoBr2 structure. The functional is PBE.

Cell and atoms, written as POSCAR:
```
BeCoBr2
1.0
1.625 -3.302 0.000
1.625 3.302 0.000
0.000 0.000 7.291
Be Co Br
1 1 2
Direct
0.000 0.000 0.000
0.000 0.000 0.500
0.500 0.500 0.229
0.500 0.500 0.771
```

Output
**Total magnetic moment**: 0.344 μB/atom

Most stable structure, least stable structure: entry x, entry w.

Entry w
This record from the Alexandria database describes a geometry-optimized BeCoBr2 structure. The functional is PBE.

Cell and atoms, written as POSCAR:
```
BeCoBr2
1.0
3.239 0.000 0.000
0.000 3.239 0.000
0.000 0.000 6.547
Be Co Br
1 1 2
Direct
0.000 0.000 0.000
0.000 0.000 0.500
0.500 0.500 0.249
0.500 0.500 0.751
```

Output
**Total magnetic moment**: 0.412 μB/atom

Entry x
This record from the Alexandria database describes a geometry-optimized BeCoBr2 structure. The functional is PBE.

Cell and atoms, written as POSCAR:
```
BeCoBr2
1.0
1.705 0.984 7.372
-1.705 0.984 7.372
0.000 -1.969 7.372
Be Co Br
1 1 2
Direct
0.000 0.000 0.000
0.500 0.500 0.500
0.396 0.396 0.396
0.604 0.604 0.604
```

Output
**Total magnetic moment**: 0.254 μB/atom

Most stable structure, least stable structure: entry x, entry w.

Entry w
This record from the Alexandria database describes a geometry-optimized BeCo3Br structure. The functional is PBE.

Cell and atoms, written as POSCAR:
```
BeCo3Br
1.0
4.263 0.000 0.000
0.000 4.263 0.000
0.000 0.000 4.263
Be Co Br
1 3 1
Direct
0.000 0.000 0.000
0.000 0.500 0.500
0.500 0.000 0.500
0.500 0.500 0.000
0.500 0.500 0.500
```

Output
**Total magnetic moment**: 0.413 μB/atom

Entry x
This record from the Alexandria database describes a geometry-optimized BeCo3Br structure. The functional is PBE.

Cell and atoms, written as POSCAR:
```
BeCo3Br
1.0
4.048 0.000 0.000
0.000 4.048 0.000
0.000 0.000 4.048
Be Co Br
1 3 1
Direct
0.000 0.000 0.000
0.000 0.000 0.500
0.000 0.500 0.000
0.500 0.000 0.000
0.500 0.500 0.500
```

Output
**Total magnetic moment**: 0.800 μB/atom

Most stable structure, least stable structure: entry x, entry w.

Entry w
This record from the Alexandria database describes a geometry-optimized BeCoBr3 structure. The functional is PBE.

Cell and atoms, written as POSCAR:
```
BeCoBr3
1.0
4.924 0.000 0.000
0.000 4.924 0.000
0.000 0.000 4.924
Be Co Br
1 1 3
Direct
0.000 0.000 0.000
0.500 0.500 0.500
0.000 0.500 0.500
0.500 0.000 0.500
0.500 0.500 0.000
```

Output
**Total magnetic moment**: 0.245 μB/atom

Entry x
This record from the Alexandria database describes a geometry-optimized BeCoBr3 structure. The functional is PBE.

Cell and atoms, written as POSCAR:
```
BeCoBr3
1.0
4.824 0.000 0.000
0.000 4.824 0.000
0.000 0.000 4.824
Be Co Br
1 1 3
Direct
0.000 0.000 0.000
0.500 0.500 0.500
0.000 0.000 0.500
0.000 0.500 0.000
0.500 0.000 0.000
```

Output
**Total magnetic moment**: 0.485 μB/atom

Most stable structure, least stable structure: entry x, entry w.

Entry w
This record from the Alexandria database describes a geometry-optimized BeCoSe2Br structure. The functional is PBE.

Cell and atoms, written as POSCAR:
```
BeCoSe2Br
1.0
4.266 0.000 0.000
0.000 4.266 0.000
0.000 0.000 6.489
Be Co Se Br
1 1 2 1
Direct
0.000 0.000 0.000
0.500 0.500 0.500
0.000 0.500 0.000
0.500 0.000 0.000
0.000 0.000 0.500
```

Output
**Total magnetic moment**: 0.477 μB/atom

Entry x
This record from the Alexandria database describes a geometry-optimized BeCoSe2Br structure. The functional is PBE.

Cell and atoms, written as POSCAR:
```
BeCoSe2Br
1.0
4.625 0.000 0.000
0.000 4.625 0.000
0.000 0.000 5.019
Be Co Se Br
1 1 2 1
Direct
0.000 0.000 0.000
0.500 0.500 0.500
0.000 0.500 0.500
0.500 0.000 0.500
0.500 0.500 0.000
```

Output
**Total magnetic moment**: 0.280 μB/atom

Most stable structure, least stable structure: entry w, entry x.